Entry 1:
## Ag2AsIr (GGA-PBE)

Data for an optimized crystal structure of Ag2AsIr.

Properties
The calculation puts the energy at -4.453 eV/atom. As for the total moment: 0.0 Bohr magnetons per cell.

Unit cell a=3.8092 b=3.8092 c=4.6442 alpha=90.00 beta=90.00 gamma=90.00
Space group P4/mmm (No. 123)
Unique sites:
Ag (0.0000, 0.5000, 0.0000) (multiplicity 2)
As (0.0000, 0.0000, 0.5000) (multiplicity 1)
Ir (0.5000, 0.5000, 0.5000) (multiplicity 1)

***

Entry 2:
## AlV4Ga2 (GGA-PBE)

Data for an optimized crystal structure of AlV4Ga2.

Properties
As for the total moment: 14.4 Bohr magnetons per cell. The calculation puts the polymorph energy (0 for the lowest one) at 895 meV per atom.

Unit cell a=4.4801 b=4.4801 c=12.9561 alpha=90.00 beta=90.00 gamma=90.00
Space group I4/mmm (No. 139)
Unique sites:
Al (0.0000, 0.0000, 0.0000) (multiplicity 2)
V (0.0000, 0.0000, 0.1883) (multiplicity 4)
V (0.0000, 0.5000, 0.0000) (multiplicity 4)
Ga (0.0000, 0.0000, 0.3868) (multiplicity 4)

***

Entry 3:
## Sm4Te3N (GGA-PBE)

Data for an optimized crystal structure of Sm4Te3N.

Properties
For the uncorrected formation energy, the calculation gives -928 kJ/mol of formula units. As for the total moment: 0.0 Bohr magnetons per cell.

Unit cell a=10.3244 b=8.1100 c=6.0879 alpha=90.00 beta=90.00 gamma=90.00
Space group Pmn2_1 (No. 31)
Unique sites:
Sm (0.0000, 0.1287, 0.0000) (multiplicity 2)
Sm (0.0000, 0.8562, 0.4738) (multiplicity 2)
Sm (0.2042, 0.2403, 0.4598) (multiplicity 4)
Te (0.0000, 0.7488, 0.9775) (multiplicity 2)
Te (0.2380, 0.3552, 0.9625) (multiplicity 4)
N (0.0000, 0.1367, 0.3899) (multiplicity 2)

***

Entry 4:
## ThMgCdGa (GGA-PBE)

Data for an optimized crystal structure of ThMgCdGa.

Properties
The calculation puts the energy at -3.438 eV/atom. As for the total moment: 0.0 Bohr magnetons per cell.

Unit cell a=7.2470 b=7.2470 c=7.2470 alpha=90.00 beta=90.00 gamma=90.00
Space group F-43m (No. 216)
Unique sites:
Th (0.0000, 0.0000, 0.0000) (multiplicity 4)
Mg (0.0000, 0.0000, 0.5000) (multiplicity 4)
Cd (0.2500, 0.2500, 0.7500) (multiplicity 4)
Ga (0.2500, 0.2500, 0.2500) (multiplicity 4)